Here is an optimized crystal structure of Cs2RePdBr6 from the Open Quantum Materials Database. Energies are from PBE.

Output
Total energy   -147.2 eV per cell
Calculated volume   1254 Å³/cell

Cell lengths 10.7847, 10.7847, 10.7847 Å; angles 90.00, 90.00, 90.00 degrees
Space group Fm-3m (No. 225)
Asymmetric unit:
Cs (0.2500, 0.2500, 0.2500) [8 per cell]
Re (0.0000, 0.0000, 0.0000) [4 per cell]
Pd (0.0000, 0.0000, 0.5000) [4 per cell]
Br (0.0000, 0.0000, 0.2401) [24 per cell]

---

Here is an optimized crystal structure of NpSiNi from the Open Quantum Materials Database. Energies are from PBE.

Output
Total energy   -85.7 eV per cell
Calculated volume   234 Å³/cell

Cell lengths 6.1643, 6.1643, 6.1643 Å; angles 90.00, 90.00, 90.00 degrees
Space group F-43m (No. 216)
Asymmetric unit:
Np (0.0000, 0.0000, 0.0000) [4 per cell]
Si (0.2500, 0.2500, 0.2500) [4 per cell]
Ni (0.2500, 0.2500, 0.7500) [4 per cell]

---

Here is an optimized crystal structure of Tm3Al3NiIr2 from the Open Quantum Materials Database. Energies are from PBE.

Output
Total energy   -55.5 eV per cell
Calculated volume   165 Å³/cell

Cell lengths 6.9463, 6.9463, 3.9512 Å; angles 90.00, 90.00, 120.00 degrees
Space group P-62m (No. 189)
Asymmetric unit:
Tm (0.0000, 0.4095, 0.0000) [3 per cell]
Al (0.0000, 0.7618, 0.5000) [3 per cell]
Ni (0.0000, 0.0000, 0.0000) [1 per cell]
Ir (0.3333, 0.6667, 0.5000) [2 per cell]

---

Here is an optimized crystal structure of NdGdAl2Zn2 from the Open Quantum Materials Database. Energies are from PBE.

Output
Total energy   -22.2 eV per cell
Calculated volume   131 Å³/cell

Cell lengths 4.5245, 4.5245, 7.4000 Å; angles 90.00, 90.00, 120.00 degrees
Space group P3m1 (No. 156)
Asymmetric unit:
Nd (0.0000, 0.0000, 0.0000) [1 per cell]
Gd (0.0000, 0.0000, 0.5003) [1 per cell]
Al (0.3333, 0.6667, 0.7659) [1 per cell]
Al (0.6667, 0.3333, 0.2807) [1 per cell]
Zn (0.3333, 0.6667, 0.2226) [1 per cell]
Zn (0.6667, 0.3333, 0.7035) [1 per cell]

---

Here is an optimized crystal structure of BaCoTe from the Open Quantum Materials Database. Energies are from PBE.

Output
Distance to the lowest polymorph of the same formula   0.00 eV per formula unit
Calculated volume   333 Å³/cell

Cell lengths 6.9280, 6.9280, 6.9280 Å; angles 90.00, 90.00, 90.00 degrees
Space group F-43m (No. 216)
Asymmetric unit:
Ba (0.0000, 0.0000, 0.0000) [4 per cell]
Co (0.2500, 0.2500, 0.2500) [4 per cell]
Te (0.0000, 0.0000, 0.5000) [4 per cell]

---

Here is an optimized crystal structure of Ba6Nb3HO14 from the Open Quantum Materials Database. Energies are from PBE.

Output
Total energy   -358.2 eV per cell
Calculated volume   792 Å³/cell

Cell lengths 5.9790, 12.6534, 10.4740 Å; angles 90.00, 90.00, 90.00 degrees
Space group Pmn2_1 (No. 31)
Asymmetric unit:
Ba (0.0000, 0.0087, 0.0000) [2 per cell]
Ba (0.0000, 0.1763, 0.3300) [2 per cell]
Ba (0.0000, 0.3434, 0.9280) [2 per cell]
Ba (0.0000, 0.5909, 0.6664) [2 per cell]
Ba (0.0000, 0.6669, 0.0458) [2 per cell]
Ba (0.0000, 0.8583, 0.3214) [2 per cell]
Nb (0.0000, 0.0938, 0.6572) [2 per cell]
Nb (0.0000, 0.5023, 0.3175) [2 per cell]
Nb (0.0000, 0.8558, 0.6635) [2 per cell]
H (0.0000, 0.3178, 0.6425) [2 per cell]
O (0.0000, 0.1590, 0.8224) [2 per cell]
O (0.0000, 0.3906, 0.6728) [2 per cell]
O (0.0000, 0.4594, 0.1464) [2 per cell]
O (0.0000, 0.6497, 0.3375) [2 per cell]
O (0.0000, 0.7763, 0.8193) [2 per cell]
O (0.0000, 0.9775, 0.5149) [2 per cell]
O (0.2297, 0.9740, 0.7369) [4 per cell]
O (0.2392, 0.7799, 0.5833) [4 per cell]
O (0.2404, 0.5510, 0.8898) [4 per cell]
O (0.2430, 0.1646, 0.5768) [4 per cell]

---

Here is an optimized crystal structure of AgTeH from the Open Quantum Materials Database. Energies are from PBE.

Output
Total energy   -18.8 eV per cell
Calculated volume   131 Å³/cell

Cell lengths 4.7848, 5.0604, 6.4089 Å; angles 112.97, 111.85, 90.32 degrees
Space group P-1 (No. 2)
Asymmetric unit:
Ag (0.2369, 0.3333, 0.4745) [2 per cell]
Te (0.3748, 0.9634, 0.7464) [2 per cell]
H (0.0698, 0.5578, 0.0465) [2 per cell]

---

Here is an optimized crystal structure of GaAg7 from the Open Quantum Materials Database. Energies are from PBE.

Output
Distance to the lowest polymorph of the same formula   0.45 eV per formula unit
Calculated volume   398 Å³/cell

Cell lengths 2.8995, 2.8995, 47.3961 Å; angles 90.00, 90.00, 90.00 degrees
Space group P4/nmm (No. 129, origin choice 2)
Asymmetric unit:
Ga (0.2500, 0.2500, 0.1617) [2 per cell]
Ag (0.2500, 0.2500, 0.2538) [2 per cell]
Ag (0.2500, 0.2500, 0.3441) [2 per cell]
Ag (0.2500, 0.2500, 0.4335) [2 per cell]
Ag (0.2500, 0.2500, 0.5221) [2 per cell]
Ag (0.2500, 0.2500, 0.6110) [2 per cell]
Ag (0.2500, 0.2500, 0.7010) [2 per cell]
Ag (0.2500, 0.2500, 0.7917) [2 per cell]

---

Here is an optimized crystal structure of Li4GaAg2Bi from the Open Quantum Materials Database. Energies are from PBE.

Output
Total energy   -23.1 eV per cell
Calculated volume   139 Å³/cell

Cell lengths 4.5530, 4.5530, 6.6869 Å; angles 90.00, 90.00, 90.00 degrees
Space group P-4m2 (No. 115)
Asymmetric unit:
Li (0.0000, 0.0000, 0.0000) [1 per cell]
Li (0.0000, 0.5000, 0.2309) [2 per cell]
Li (0.5000, 0.5000, 0.5000) [1 per cell]
Ga (0.5000, 0.5000, 0.0000) [1 per cell]
Ag (0.0000, 0.5000, 0.7847) [2 per cell]
Bi (0.0000, 0.0000, 0.5000) [1 per cell]

---

Here is an optimized crystal structure of BaLiErSe3 from the Open Quantum Materials Database. Energies are from PBE.

Output
Distance to the lowest polymorph of the same formula   0.12 eV per formula unit
Calculated volume   332 Å³/cell

Cell lengths 8.7819, 4.2333, 9.2822 Å; angles 90.00, 105.79, 90.00 degrees
Space group P2_1/m (No. 11)
Asymmetric unit:
Ba (0.2003, 0.2500, 0.2469) [2 per cell]
Li (0.0858, 0.2500, 0.5924) [2 per cell]
Er (0.3259, 0.7500, 0.8435) [2 per cell]
Se (0.1135, 0.2500, 0.8696) [2 per cell]
Se (0.2136, 0.7500, 0.5279) [2 per cell]
Se (0.4537, 0.7500, 0.1631) [2 per cell]

---

Here is an optimized crystal structure of NdUHg from the Open Quantum Materials Database. Energies are from PBE.

Output
Energy of formation from the pure elements   601 meV/atom
Distance to the lowest polymorph of the same formula   0.00 eV per formula unit
Calculated volume   390 Å³/cell

Cell lengths 7.3065, 7.3065, 7.3065 Å; angles 90.00, 90.00, 90.00 degrees
Space group F-43m (No. 216)
Asymmetric unit:
Nd (0.0000, 0.0000, 0.0000) [4 per cell]
U (0.0000, 0.0000, 0.5000) [4 per cell]
Hg (0.2500, 0.2500, 0.2500) [4 per cell]

---

Here is an optimized crystal structure of ZnCuBiOs from the Open Quantum Materials Database. Energies are from PBE.

Output
Distance to the lowest polymorph of the same formula   0.00 eV per formula unit
Calculated volume   273 Å³/cell

Cell lengths 6.4837, 6.4837, 6.4837 Å; angles 90.00, 90.00, 90.00 degrees
Space group F-43m (No. 216)
Asymmetric unit:
Zn (0.0000, 0.0000, 0.0000) [4 per cell]
Cu (0.2500, 0.2500, 0.7500) [4 per cell]
Bi (0.0000, 0.0000, 0.5000) [4 per cell]
Os (0.2500, 0.2500, 0.2500) [4 per cell]

---

Here is an optimized crystal structure of CsHfAu from the Open Quantum Materials Database. Energies are from PBE.

Output
Distance to the lowest polymorph of the same formula   1.87 eV per formula unit
Calculated volume   365 Å³/cell

Cell lengths 7.1441, 7.1441, 7.1441 Å; angles 90.00, 90.00, 90.00 degrees
Space group F-43m (No. 216)
Asymmetric unit:
Cs (0.0000, 0.0000, 0.0000) [4 per cell]
Hf (0.2500, 0.2500, 0.2500) [4 per cell]
Au (0.2500, 0.2500, 0.7500) [4 per cell]

---

Here is an optimized crystal structure of Zr4Nb2Cu3C3 from the Open Quantum Materials Database. Energies are from PBE.

Output
Total energy   -390.3 eV per cell
Calculated volume   741 Å³/cell

Cell lengths 9.7906, 5.6411, 13.8467 Å; angles 90.00, 104.38, 90.00 degrees
Space group C2/c (No. 15)
Asymmetric unit:
Zr (0.1193, 0.0774, 0.1025) [8 per cell]
Zr (0.2108, 0.0872, 0.3975) [8 per cell]
Nb (0.0580, 0.4134, 0.9188) [8 per cell]
Cu (0.0000, 0.1493, 0.7500) [4 per cell]
Cu (0.1335, 0.4510, 0.2496) [8 per cell]
C (0.0824, 0.2526, 0.5000) [8 per cell]
C (0.2500, 0.2500, 0.0000) [4 per cell]

---

Here is an optimized crystal structure of CuSiIrPb from the Open Quantum Materials Database. Energies are from PBE.

Output
Distance to the lowest polymorph of the same formula   0.38 eV per formula unit
Calculated volume   271 Å³/cell

Cell lengths 6.4709, 6.4709, 6.4709 Å; angles 90.00, 90.00, 90.00 degrees
Space group F-43m (No. 216)
Asymmetric unit:
Cu (0.0000, 0.0000, 0.0000) [4 per cell]
Si (0.0000, 0.0000, 0.5000) [4 per cell]
Ir (0.2500, 0.2500, 0.7500) [4 per cell]
Pb (0.2500, 0.2500, 0.2500) [4 per cell]

---

Here is an optimized crystal structure of BaPmAs from the Open Quantum Materials Database. Energies are from PBE.

Output
Distance to the lowest polymorph of the same formula   0.00 eV per formula unit
Calculated volume   407 Å³/cell

Cell lengths 7.4097, 7.4097, 7.4097 Å; angles 90.00, 90.00, 90.00 degrees
Space group F-43m (No. 216)
Asymmetric unit:
Ba (0.0000, 0.0000, 0.0000) [4 per cell]
Pm (0.0000, 0.0000, 0.5000) [4 per cell]
As (0.2500, 0.2500, 0.2500) [4 per cell]

---

Here is an optimized crystal structure of ScFeCuSn from the Open Quantum Materials Database. Energies are from PBE.

Output
Distance to the lowest polymorph of the same formula   0.91 eV per formula unit
Calculated volume   270 Å³/cell

Cell lengths 6.4602, 6.4602, 6.4602 Å; angles 90.00, 90.00, 90.00 degrees
Space group F-43m (No. 216)
Asymmetric unit:
Sc (0.0000, 0.0000, 0.0000) [4 per cell]
Fe (0.2500, 0.2500, 0.2500) [4 per cell]
Cu (0.0000, 0.0000, 0.5000) [4 per cell]
Sn (0.2500, 0.2500, 0.7500) [4 per cell]

---

Here is an optimized crystal structure of Li2Si2Os3 from the Open Quantum Materials Database. Energies are from PBE.

Output
Total energy   -145.2 eV per cell
Calculated volume   287 Å³/cell

Cell lengths 4.1954, 4.1954, 18.8589 Å; angles 90.00, 90.00, 120.00 degrees
Space group R3m (No. 160, hexagonal axes)
Asymmetric unit:
Li (0.0000, 0.0000, 0.0000) [3 per cell]
Li (0.0000, 0.0000, 0.4370) [3 per cell]
Si (0.0000, 0.0000, 0.1699) [3 per cell]
Si (0.0000, 0.0000, 0.7104) [3 per cell]
Os (0.0000, 0.0000, 0.2988) [3 per cell]
Os (0.0000, 0.0000, 0.5867) [3 per cell]
Os (0.0000, 0.0000, 0.8318) [3 per cell]

---

Here is an optimized crystal structure of GdTlFeS3 from the Open Quantum Materials Database. Energies are from PBE.

Output
Distance to the lowest polymorph of the same formula   0.00 eV per formula unit
Calculated volume   312 Å³/cell

Cell lengths 8.5738, 3.9812, 9.5780 Å; angles 90.00, 107.25, 90.00 degrees
Space group P2_1/m (No. 11)
Asymmetric unit:
Gd (0.1751, 0.2500, 0.1464) [2 per cell]
Tl (0.2743, 0.7500, 0.7454) [2 per cell]
Fe (0.4259, 0.7500, 0.4084) [2 per cell]
S (0.0457, 0.2500, 0.8494) [2 per cell]
S (0.2971, 0.2500, 0.4573) [2 per cell]
S (0.4053, 0.7500, 0.1644) [2 per cell]

---

Here is an optimized crystal structure of PmHfU from the Open Quantum Materials Database. Energies are from PBE.

Output
Energy of formation from the pure elements   1196 meV/atom
Distance to the lowest polymorph of the same formula   0.00 eV per formula unit
Calculated volume   347 Å³/cell

Cell lengths 7.0284, 7.0284, 7.0284 Å; angles 90.00, 90.00, 90.00 degrees
Space group F-43m (No. 216)
Asymmetric unit:
Pm (0.0000, 0.0000, 0.0000) [4 per cell]
Hf (0.2500, 0.2500, 0.2500) [4 per cell]
U (0.0000, 0.0000, 0.5000) [4 per cell]

---

Here is an optimized crystal structure of HoLuNi from the Open Quantum Materials Database. Energies are from PBE.

Output
Energy of formation from the pure elements   -202 meV/atom
Distance to the lowest polymorph of the same formula   0.00 eV per formula unit
Calculated volume   287 Å³/cell

Cell lengths 6.5957, 6.5957, 6.5957 Å; angles 90.00, 90.00, 90.00 degrees
Space group F-43m (No. 216)
Asymmetric unit:
Ho (0.0000, 0.0000, 0.0000) [4 per cell]
Lu (0.0000, 0.0000, 0.5000) [4 per cell]
Ni (0.2500, 0.2500, 0.2500) [4 per cell]

---

Here is an optimized crystal structure of PuHg from the Open Quantum Materials Database. Energies are from PBE.

Output
Energy of formation from the pure elements   -86 meV/atom
Calculated volume   53 Å³/cell

Cell lengths 3.3819, 3.3819, 5.3378 Å; angles 90.00, 90.00, 120.00 degrees
Space group P-6m2 (No. 187)
Asymmetric unit:
Pu (0.0000, 0.0000, 0.0000) [1 per cell]
Hg (0.3333, 0.6667, 0.5000) [1 per cell]

---

Here is an optimized crystal structure of Lu3BiN2 from the Open Quantum Materials Database. Energies are from PBE.

Output
Distance to the lowest polymorph of the same formula   0.07 eV per formula unit
Calculated volume   105 Å³/cell

Cell lengths 3.4609, 3.4609, 10.1291 Å; angles 90.00, 90.00, 120.00 degrees
Space group P-3m1 (No. 164)
Asymmetric unit:
Lu (0.0000, 0.0000, 0.0000) [1 per cell]
Lu (0.3333, 0.6667, 0.7474) [2 per cell]
Bi (0.0000, 0.0000, 0.5000) [1 per cell]
N (0.3333, 0.6667, 0.1395) [2 per cell]

---

Here is an optimized crystal structure of TmTlBiTe3 from the Open Quantum Materials Database. Energies are from PBE.

Output
Total energy   -95.3 eV per cell
Calculated volume   824 Å³/cell

Cell lengths 4.2222, 15.5905, 12.5207 Å; angles 90.00, 90.00, 90.00 degrees
Space group Cmcm (No. 63)
Asymmetric unit:
Tm (0.0000, 0.0000, 0.0000) [4 per cell]
Tl (0.0000, 0.2929, 0.2500) [4 per cell]
Bi (0.0000, 0.3858, 0.7500) [4 per cell]
Te (0.0000, 0.0376, 0.7500) [4 per cell]
Te (0.0000, 0.3614, 0.5063) [8 per cell]